Record 1
Computed, not measured: ReS2ClO after structural relaxation at the PBE level of DFT.

Summary:
The value obtained for the energy above the most stable polymorph in this dataset is 0.00 eV/f.u. For the density of states at the Fermi level, the calculation gives 7.65 states/eV/cell. For the formation energy (no corrections), the calculation gives 0.74 eV per atom. The magnetic moment comes out at 0.0 μB/cell. The total energy is -4.758 eV/atom.

a = 4.5363 Å, b = 4.5363 Å, c = 4.7389 Å
α = 90.00°, β = 90.00°, γ = 90.00°
Element x y z (fractional)
1 Re 0.0000 0.0000 0.0000
2 S 0.0000 0.5000 0.0000
3 S 0.5000 0.0000 0.0000
4 Cl 0.0000 0.0000 0.5000
5 O 0.5000 0.5000 0.5000

***

Record 2
Computed, not measured: SmReClO4 after structural relaxation at the PBE level of DFT.

Summary:
For the density of states at the Fermi level, the calculation gives 5.50 states/eV/cell. For the formation energy (no corrections), the calculation gives -2.15 eV per atom. The magnetic moment comes out at 2.0 μB/cell. The total energy is -7.695 eV/atom.

a = 6.4232 Å, b = 6.4232 Å, c = 7.0482 Å
α = 102.73°, β = 102.73°, γ = 68.68°
Element x y z (fractional)
1 Sm 0.2183 0.2183 0.1003
2 Sm 0.7817 0.7817 0.8997
3 Re 0.3664 0.3664 0.7175
4 Re 0.6336 0.6336 0.2825
5 Cl 0.0079 0.0079 0.7662
6 Cl 0.9921 0.9921 0.2338
7 O 0.1225 0.4766 0.8544
8 O 0.2882 0.2882 0.4645
9 O 0.4618 0.4618 0.2145
10 O 0.4766 0.1225 0.8544
11 O 0.5234 0.8775 0.1456
12 O 0.5382 0.5382 0.7855
13 O 0.7118 0.7118 0.5355
14 O 0.8775 0.5234 0.1456

***

Record 3
Computed, not measured: SrReClO4 after structural relaxation at the PBE level of DFT.

Summary:
For the density of states at the Fermi level, the calculation gives 0.00 states/eV/cell. For the formation energy (no corrections), the calculation gives -2.10 eV per atom. The magnetic moment comes out at 0.0 μB/cell. The total energy is -7.213 eV/atom.

a = 6.6774 Å, b = 6.6774 Å, c = 7.4448 Å
α = 103.06°, β = 103.06°, γ = 72.93°
Element x y z (fractional)
1 Sr 0.2091 0.2091 0.1305
2 Sr 0.7909 0.7909 0.8695
3 Re 0.3653 0.3653 0.7380
4 Re 0.6347 0.6347 0.2620
5 Cl 0.0260 0.0260 0.7674
6 Cl 0.9740 0.9740 0.2326
7 O 0.1362 0.4935 0.8388
8 O 0.3003 0.3003 0.4952
9 O 0.4653 0.4653 0.2086
10 O 0.4935 0.1362 0.8388
11 O 0.5065 0.8638 0.1612
12 O 0.5347 0.5347 0.7914
13 O 0.6997 0.6997 0.5048
14 O 0.8638 0.5065 0.1612

***

Record 4
Computed, not measured: Sr3ReCl2O6 after structural relaxation at the PBE level of DFT.

Summary:
For the density of states at the Fermi level, the calculation gives 2.01 states/eV/cell. For the formation energy (no corrections), the calculation gives -2.01 eV per atom. The magnetic moment comes out at 1.1 μB/cell. The total energy is -6.257 eV/atom.

a = 7.0578 Å, b = 7.0578 Å, c = 5.7477 Å
α = 94.74°, β = 94.74°, γ = 58.45°
Element x y z (fractional)
1 Sr 0.0000 0.0000 0.0000
2 Sr 0.0000 0.5000 0.5000
3 Sr 0.5000 0.0000 0.5000
4 Re 0.5000 0.5000 0.5000
5 Cl 0.2126 0.2126 0.8758
6 Cl 0.7874 0.7874 0.1242
7 O 0.2466 0.6576 0.6930
8 O 0.3424 0.7534 0.3070
9 O 0.3593 0.3593 0.3425
10 O 0.6407 0.6407 0.6575
11 O 0.6576 0.2466 0.6930
12 O 0.7534 0.3424 0.3070

***

Record 5
Computed, not measured: Re2TcClO after structural relaxation at the PBE level of DFT.

Summary:
For the density of states at the Fermi level, the calculation gives 5.13 states/eV/cell. For the formation energy (no corrections), the calculation gives 0.95 eV per atom. The magnetic moment comes out at 1.5 μB/cell. The total energy is -7.466 eV/atom.

a = 3.8812 Å, b = 3.8812 Å, c = 5.1230 Å
α = 90.00°, β = 90.00°, γ = 90.00°
Element x y z (fractional)
1 Re 0.0000 0.5000 0.0000
2 Re 0.5000 0.0000 0.0000
3 Tc 0.0000 0.0000 0.5000
4 Cl 0.5000 0.5000 0.5000
5 O 0.5000 0.5000 0.0000

***

Record 6
Computed, not measured: Tl2ReCl4O2 after structural relaxation at the PBE level of DFT.

Summary:
For the density of states at the Fermi level, the calculation gives 0.32 states/eV/cell. For the formation energy (no corrections), the calculation gives -1.00 eV per atom. The magnetic moment comes out at 1.0 μB/cell. The total energy is -4.828 eV/atom.

a = 6.8656 Å, b = 6.8656 Å, c = 6.8698 Å
α = 118.60°, β = 118.60°, γ = 62.39°
Element x y z (fractional)
1 Tl 0.2400 0.2400 0.2909
2 Tl 0.7600 0.7600 0.7091
3 Re 0.5000 0.5000 0.0000
4 Cl 0.2151 0.6942 0.1949
5 Cl 0.3058 0.7849 0.8051
6 Cl 0.6942 0.2151 0.1949
7 Cl 0.7849 0.3058 0.8051
8 O 0.3231 0.3231 0.7573
9 O 0.6769 0.6769 0.2427

***

Record 7
Computed, not measured: TmReClO4 after structural relaxation at the PBE level of DFT.

Summary:
For the density of states at the Fermi level, the calculation gives 4.42 states/eV/cell. For the formation energy (no corrections), the calculation gives -2.16 eV per atom. The magnetic moment comes out at 2.0 μB/cell. The total energy is -7.671 eV/atom.

a = 6.2479 Å, b = 6.2479 Å, c = 6.8962 Å
α = 103.21°, β = 103.21°, γ = 67.98°
Element x y z (fractional)
1 Tm 0.2183 0.2183 0.0948
2 Tm 0.7817 0.7817 0.9052
3 Re 0.3665 0.3665 0.7152
4 Re 0.6335 0.6335 0.2848
5 Cl 0.0057 0.0057 0.7682
6 Cl 0.9943 0.9943 0.2318
7 O 0.1145 0.4773 0.8545
8 O 0.2874 0.2874 0.4554
9 O 0.4573 0.4573 0.2105
10 O 0.4773 0.1145 0.8545
11 O 0.5227 0.8855 0.1455
12 O 0.5427 0.5427 0.7895
13 O 0.7126 0.7126 0.5446
14 O 0.8855 0.5227 0.1455

***

Record 8
Computed, not measured: RhClO2 after structural relaxation at the PBE level of DFT.

Summary:
For the density of states at the Fermi level, the calculation gives 25.58 states/eV/cell. For the formation energy (no corrections), the calculation gives 0.95 eV per atom. The magnetic moment comes out at 0.0 μB/cell. The total energy is -3.833 eV/atom.

a = 5.6129 Å, b = 5.6129 Å, c = 5.6129 Å
α = 90.00°, β = 90.00°, γ = 90.00°
Element x y z (fractional)
1 Rh 0.0000 0.0000 0.0000
2 Rh 0.0000 0.5000 0.5000
3 Rh 0.5000 0.0000 0.5000
4 Rh 0.5000 0.5000 0.0000
5 Cl 0.0000 0.0000 0.5000
6 Cl 0.0000 0.5000 0.0000
7 Cl 0.5000 0.0000 0.0000
8 Cl 0.5000 0.5000 0.5000
9 O 0.2500 0.2500 0.2500
10 O 0.2500 0.2500 0.7500
11 O 0.2500 0.7500 0.2500
12 O 0.2500 0.7500 0.7500
13 O 0.7500 0.2500 0.2500
14 O 0.7500 0.2500 0.7500
15 O 0.7500 0.7500 0.2500
16 O 0.7500 0.7500 0.7500

***

Record 9
Computed, not measured: RhCl3O after structural relaxation at the PBE level of DFT.

Summary:
The value obtained for the energy above the most stable polymorph in this dataset is 0.00 eV/f.u. For the density of states at the Fermi level, the calculation gives 15.43 states/eV/cell. For the formation energy (no corrections), the calculation gives -0.43 eV per atom. The magnetic moment comes out at 0.2 μB/cell. The total energy is -3.996 eV/atom.

a = 6.8045 Å, b = 6.5366 Å, c = 12.4428 Å
α = 90.00°, β = 95.89°, γ = 90.00°
Element x y z (fractional)
1 Rh 0.0696 0.1010 0.3783
2 Rh 0.0696 0.8990 0.8783
3 Rh 0.9304 0.1010 0.1217
4 Rh 0.9304 0.8990 0.6217
5 Cl 0.0996 0.2130 0.9747
6 Cl 0.0996 0.7870 0.4747
7 Cl 0.2234 0.0163 0.7282
8 Cl 0.2234 0.9837 0.2282
9 Cl 0.3616 0.2136 0.4667
10 Cl 0.3616 0.7864 0.9667
11 Cl 0.6384 0.2136 0.0333
12 Cl 0.6384 0.7864 0.5333
13 Cl 0.7766 0.0163 0.7718
14 Cl 0.7766 0.9837 0.2718
15 Cl 0.9004 0.2130 0.5253
16 Cl 0.9004 0.7870 0.0253
17 O 0.0273 0.3659 0.3025
18 O 0.0273 0.6341 0.8025
19 O 0.9727 0.3659 0.1975
20 O 0.9727 0.6341 0.6975

***

Record 10
Computed, not measured: RhCl3O after structural relaxation at the PBE level of DFT.

Summary:
The value obtained for the energy above the most stable polymorph in this dataset is 5.28 eV/f.u. For the density of states at the Fermi level, the calculation gives 14.89 states/eV/cell. For the formation energy (no corrections), the calculation gives 0.63 eV per atom. The magnetic moment comes out at 0.0 μB/cell. The total energy is -2.941 eV/atom.

a = 4.7092 Å, b = 4.7092 Å, c = 4.7092 Å
α = 90.00°, β = 90.00°, γ = 90.00°
Element x y z (fractional)
1 Rh 0.0000 0.0000 0.0000
2 Cl 0.0000 0.0000 0.5000
3 Cl 0.0000 0.5000 0.0000
4 Cl 0.5000 0.0000 0.0000
5 O 0.5000 0.5000 0.5000